A geometry-optimized Rb3BiTe structure, computed with PBE-GGA.

Lattice parameters (Å, degrees): 6.932 6.932 6.932 90.00 90.00 90.00
Space group Pm-3m (No. 221)
Unique sites:
Rb: 0.000 0.000 0.500 x3
Bi: 0.500 0.500 0.500 x1
Te: 0.000 0.000 0.000 x1

Summary:
ΔE to the lowest computed polymorph = 1.46 eV/f.u.
M_tot = 2.000 μB/f.u.
Formation energy without anion corrections = -0.33 eV per atom
Crystal system = cubic